This record from Alexandria describes crystalline LiTcOs2 at its relaxed geometry. The functional is GGA-PBE.

Computed properties:
* symmetry: Pm, No. 6

a b c (Å): 2.709 3.952 5.123
angles (deg): 90.00 90.86 90.00
Element x y z (fractional)
Li (0.000, 0.000, 0.000)
Tc (0.497, 0.500, 0.237)
Os (0.000, 0.000, 0.504)
Os (0.504, 0.500, 0.765)

=====

This record from Alexandria describes crystalline LiTcOs2 at its relaxed geometry. The functional is GGA-PBE.

Computed properties:
* symmetry: I-42d, No. 122

a b c (Å): 5.728 5.728 5.728
angles (deg): 100.92 100.92 128.40
Element x y z (fractional)
Li (0.000, 0.000, 0.000)
Li (0.750, 0.250, 0.500)
Tc (0.250, 0.750, 0.500)
Tc (0.500, 0.500, 0.000)
Os (0.176, 0.625, 0.051)
Os (0.375, 0.426, 0.551)
Os (0.574, 0.125, 0.949)
Os (0.875, 0.824, 0.449)

=====

This record from Alexandria describes crystalline LiTcOs2 at its relaxed geometry. The functional is GGA-PBE.

Computed properties:
* symmetry: P2/m, No. 10

a b c (Å): 2.674 4.072 5.141
angles (deg): 90.00 103.88 90.00
Element x y z (fractional)
Li (0.000, 0.000, 0.000)
Tc (0.500, 0.000, 0.500)
Os (0.183, 0.500, 0.768)
Os (0.817, 0.500, 0.232)

=====

This record from Alexandria describes crystalline LiTcOs2 at its relaxed geometry. The functional is GGA-PBE.

Computed properties:
* symmetry: P4/mmm, No. 123

a b c (Å): 2.939 2.939 6.091
angles (deg): 90.00 90.00 90.00
Element x y z (fractional)
Li (0.000, 0.000, 0.000)
Tc (0.000, 0.000, 0.500)
Os (0.500, 0.500, 0.225)
Os (0.500, 0.500, 0.775)

=====

Number 1: ΔE_f 0.232 eV per atom. Number 2: ΔE_f 0.810 eV per atom. Number 3: ΔE_f 0.248 eV per atom. Number 4: ΔE_f 0.276 eV per atom.